5
Lattice="5.0861 0.0000 0.0000 0.0000 4.8403 0.0000 0.0000 0.0000 5.0861" Properties=species:S:1:pos:R:3 comment="LaZr2MnW (PBE, optimized geometry)" ef_ev_per_atom=1.83 m_tot_mub_per_atom=0.87 rho_g_cm3=7.43 spacegroup="No. 123" total_energy_ev_per_atom=-6.997 pbc="T T T"
Zr 0.0000 0.0000 2.5431
Zr 2.5431 0.0000 0.0000
W 0.0000 2.4202 0.0000
La 0.0000 0.0000 0.0000
Mn 2.5431 2.4202 2.5431